# PBE Sb2SI, relaxed
# M_tot: 0.00 μB/f.u.
# energy relative to the lowest polymorph listed for this composition: 0 meV/atom
# raw total energy: -3.36 eV per atom
data_Sb2SI
_chemical_formula_sum 'Sb8 S4 I4'
_symmetry_space_group_name_H-M 'I -4 2 d'
_symmetry_Int_Tables_number 122
_symmetry_space_group_name_Hall 'I -4 2bw'
_cell_length_a 5.434
_cell_length_b 5.434
_cell_length_c 18.164
_cell_angle_alpha 90.00
_cell_angle_beta 90.00
_cell_angle_gamma 90.00
loop_
_atom_site_label
_atom_site_fract_x
_atom_site_fract_y
_atom_site_fract_z
Sb1 0.141 0.250 0.125
S1 0.000 0.000 0.000
I1 0.000 0.000 0.500

# PBE SbS5I, relaxed
# M_tot: 0.00 μB/f.u.
# raw total energy: -3.59 eV per atom
data_SbS5I
_chemical_formula_sum 'Sb1 S5 I1'
_symmetry_space_group_name_H-M 'P 1'
_symmetry_Int_Tables_number 1
_cell_length_a 3.641
_cell_length_b 7.646
_cell_length_c 8.194
_cell_angle_alpha 90.25
_cell_angle_beta 102.78
_cell_angle_gamma 103.26
loop_
_symmetry_equiv_pos_as_xyz
'x,y,z'
loop_
_atom_site_label
_atom_site_fract_x
_atom_site_fract_y
_atom_site_fract_z
Sb1 0.000 0.000 0.000
S1 0.067 0.291 0.843
S2 0.344 0.846 0.828
S3 0.457 0.715 0.319
S4 0.662 0.155 0.186
S5 0.963 0.687 0.161
I1 0.875 0.203 0.551

# PBE Sb2S2I, relaxed
# M_tot: 0.00 μB/f.u.
# energy relative to the lowest polymorph listed for this composition: 0 meV/atom
# raw total energy: -3.75 eV per atom
data_Sb2S2I
_chemical_formula_sum 'Sb4 S4 I2'
_symmetry_space_group_name_H-M 'P -1'
_symmetry_Int_Tables_number 2
_cell_length_a 4.009
_cell_length_b 8.767
_cell_length_c 9.194
_cell_angle_alpha 108.52
_cell_angle_beta 102.54
_cell_angle_gamma 90.07
loop_
_symmetry_equiv_pos_as_xyz
'x,y,z'
'-x,-y,-z'
loop_
_atom_site_label
_atom_site_fract_x
_atom_site_fract_y
_atom_site_fract_z
Sb1 0.153 0.354 0.305
Sb2 0.214 0.848 0.430
S1 0.311 0.391 0.625
S2 0.356 0.858 0.712
I1 0.020 0.752 0.041

# PBE Sb4S5I, relaxed
# M_tot: 0.00 μB/f.u.
# raw total energy: -4.04 eV per atom
data_Sb4S5I
_chemical_formula_sum 'Sb8 S10 I2'
_symmetry_space_group_name_H-M 'P m m n'
_symmetry_Int_Tables_number 59
_cell_length_a 9.308
_cell_length_b 9.474
_cell_length_c 7.974
_cell_angle_alpha 90.00
_cell_angle_beta 90.00
_cell_angle_gamma 90.00
loop_
_symmetry_equiv_pos_as_xyz
'x,y,z'
'-x,-y,-z'
'-x+1/2,-y+1/2,z'
'x+1/2,y+1/2,-z'
'x+1/2,-y,-z'
'-x+1/2,y,z'
'-x,y+1/2,-z'
'x,-y+1/2,z'
loop_
_atom_site_label
_atom_site_fract_x
_atom_site_fract_y
_atom_site_fract_z
Sb1 0.075 0.250 0.095
Sb2 0.250 0.022 0.485
S1 0.048 0.046 0.281
S2 0.250 0.250 0.638
I1 0.250 0.750 0.960

# PBE Sb4S4I3, relaxed
# M_tot: 0.00 μB/f.u.
# raw total energy: -3.42 eV per atom
data_Sb4S4I3
_chemical_formula_sum 'Sb8 S8 I6'
_symmetry_space_group_name_H-M 'I m m m'
_symmetry_Int_Tables_number 71
_symmetry_space_group_name_Hall '-I 2 2'
_cell_length_a 3.895
_cell_length_b 9.972
_cell_length_c 15.811
_cell_angle_alpha 90.00
_cell_angle_beta 90.00
_cell_angle_gamma 90.00
loop_
_atom_site_label
_atom_site_fract_x
_atom_site_fract_y
_atom_site_fract_z
Sb1 0.000 0.000 0.197
Sb2 0.000 0.232 0.500
S1 0.000 0.320 0.342
I1 0.000 0.000 0.000
I2 0.000 0.500 0.116

# PBE Sb2S2I, relaxed
# M_tot: 0.00 μB/f.u.
# energy relative to the lowest polymorph listed for this composition: 69 meV/atom
# raw total energy: -3.68 eV per atom
data_Sb2S2I
_chemical_formula_sum 'Sb4 S4 I2'
_symmetry_space_group_name_H-M 'P 4/m b m'
_symmetry_Int_Tables_number 127
_symmetry_space_group_name_Hall '-P 4 2ab'
_cell_length_a 9.077
_cell_length_b 9.077
_cell_length_c 3.744
_cell_angle_alpha 90.00
_cell_angle_beta 90.00
_cell_angle_gamma 90.00
loop_
_atom_site_label
_atom_site_fract_x
_atom_site_fract_y
_atom_site_fract_z
Sb1 0.230 0.270 0.000
S1 0.141 0.641 0.500
I1 0.000 0.000 0.000